Record 1
Below is a relaxed K8Na3 crystal, with properties calculated at the PBE level.

```
K8Na3
1.0
6.182 3.569 5.515
-6.182 3.569 5.515
0.000 -7.138 5.515
K Na
8 3
Cartesian
0.000 0.000 2.120
-0.991 -2.554 6.396
-1.716 2.135 6.396
-2.707 -0.418 10.150
2.707 0.418 6.396
1.716 -2.135 10.150
0.991 2.554 10.150
0.000 0.000 14.425
-6.182 0.000 8.273
-3.091 1.785 2.758
3.091 1.785 2.758
```

Computed properties:
The value obtained for the distance to the lowest polymorph of the same formula is 60 meV/atom. Its space group is No. 148. The density is 0.9 g/cm3. The energy of formation comes out at 76 meV/atom.

Record 2
Below is a relaxed La2CdSi crystal, with properties calculated at the PBE level.

```
La2CdSi
1.0
2.182 1.260 7.601
-2.182 1.260 7.601
0.000 -2.519 7.601
La Cd Si
2 1 1
Cartesian
0.000 0.000 0.000
0.000 0.000 4.423
0.000 0.000 9.975
0.000 0.000 17.095
```

Computed properties:
Its space group is No. 160. The total energy is -4.25 eV/atom. The density is 5.5 g/cm3.

Record 3
Below is a relaxed Cd14SnPb crystal, with properties calculated at the PBE level.

```
Cd14SnPb
1.0
4.508 -4.634 0.000
4.508 4.634 0.000
0.000 0.000 9.071
Cd Sn Pb
14 1 1
Cartesian
0.000 0.000 0.000
2.254 2.317 0.000
2.254 2.317 4.536
2.241 0.000 2.137
2.241 0.000 6.935
4.508 2.329 2.159
4.508 2.329 6.912
2.254 -2.317 0.000
2.254 -2.317 4.536
4.508 0.000 0.000
4.508 -2.329 2.159
4.508 -2.329 6.912
6.775 0.000 2.137
6.775 0.000 6.935
0.000 0.000 4.536
4.508 0.000 4.536
```

Computed properties:
Its space group is No. 65. The density is 8.3 g/cm3. The energy of formation comes out at 30 meV/atom.

Record 4
Below is a relaxed Dy3Sc2Al2 crystal, with properties calculated at the PBE level.

```
Dy3Sc2Al2
1.0
2.341 -11.191 0.000
2.341 11.191 0.000
0.000 0.000 3.310
Dy Sc Al
3 2 2
Cartesian
0.000 0.000 0.000
2.341 7.964 0.000
2.341 -7.964 0.000
2.341 4.833 1.655
2.341 -4.833 1.655
2.341 1.610 1.655
2.341 -1.610 1.655
```

Computed properties:
Its space group is No. 65. The density is 6.0 g/cm3. The energy of formation comes out at -103 meV/atom.

Record 5
Below is a relaxed SiPb3 crystal, with properties calculated at the PBE level.

```
SiPb3
1.0
5.353 3.090 1.131
-5.353 3.090 1.131
0.000 -6.181 1.131
Si Pb
1 3
Cartesian
0.000 0.000 0.000
-2.676 -1.545 1.131
-2.676 1.545 2.262
0.000 3.090 1.131
```

Computed properties:
The value obtained for the distance to the lowest polymorph of the same formula is 129 meV/atom. Its space group is No. 166. The density is 9.6 g/cm3.

Record 6
Below is a relaxed Mg2TcCl8 crystal, with properties calculated at the PBE level.

```
Mg2TcCl8
1.0
7.708 -3.373 0.000
7.708 3.373 0.000
-0.489 0.000 6.211
Mg Tc Cl
2 1 8
Cartesian
2.156 0.000 2.798
12.771 0.000 3.414
0.000 0.000 0.000
1.669 0.000 5.178
6.420 1.742 4.683
4.387 0.000 2.430
8.508 1.742 1.528
6.420 -1.742 4.683
10.540 0.000 3.781
8.508 -1.742 1.528
13.258 0.000 1.034
```

Computed properties:
Its space group is No. 12. The total energy is -3.78 eV/atom. The density is 2.2 g/cm3.